# Li4Fe3Co2Sb3O16 PBE with a Hubbard U optimized geometry
data_Li4Fe3Co2Sb3O16
_chemical_formula_sum 'Li8 Fe6 Co4 Sb6 O32'
_cell_length_a 10.500
_cell_length_b 6.063
_cell_length_c 9.848
_cell_angle_alpha 90.00
_cell_angle_beta 91.00
_cell_angle_gamma 90.00
_space_group_name_H-M_alt 'C 1 m 1'
_space_group_IT_number 8
_space_group_name_Hall 'C -2y'
loop_
_atom_site_label
_atom_site_type_symbol
_atom_site_fract_x
_atom_site_fract_y
_atom_site_fract_z
Li1 Li 0.000 0.000 0.000
Li2 Li 0.015 0.000 0.516
Li3 Li 0.184 0.500 0.885
Li4 Li 0.351 0.000 0.412
Fe1 Fe 0.351 0.500 0.226
Fe2 Fe 0.438 0.248 0.726
Co1 Co 0.197 0.500 0.527
Co2 Co 0.360 0.000 0.988
Sb1 Sb 0.104 0.253 0.227
Sb2 Sb 0.193 0.000 0.726
O1 O 0.000 0.500 0.839
O2 O 0.019 0.000 0.330
O3 O 0.025 0.000 0.822
O4 O 0.033 0.500 0.342
O5 O 0.109 0.233 0.608
O6 O 0.173 0.000 0.113
O7 O 0.185 0.500 0.114
O8 O 0.264 0.277 0.336
O9 O 0.275 0.224 0.850
O10 O 0.356 0.000 0.616
O11 O 0.367 0.500 0.622
O12 O 0.440 0.268 0.120
# - M_tot: 26.0 μB per cell



# Li4Fe3Co3Sn2O16 PBE with a Hubbard U optimized geometry
data_Li4Fe3Co3Sn2O16
_chemical_formula_sum 'Li8 Fe6 Co6 Sn4 O32'
_cell_length_a 10.108
_cell_length_b 5.856
_cell_length_c 9.637
_cell_angle_alpha 90.00
_cell_angle_beta 90.55
_cell_angle_gamma 90.00
_space_group_name_H-M_alt 'C 1 m 1'
_space_group_IT_number 8
_space_group_name_Hall 'C -2y'
loop_
_atom_site_label
_atom_site_type_symbol
_atom_site_fract_x
_atom_site_fract_y
_atom_site_fract_z
Li1 Li 0.000 0.000 0.000
Li2 Li 0.000 0.000 0.498
Li3 Li 0.174 0.500 0.101
Li4 Li 0.335 0.000 0.595
Fe1 Fe 0.087 0.254 0.779
Fe2 Fe 0.172 0.000 0.278
Co1 Co 0.333 0.500 0.777
Co2 Co 0.419 0.245 0.279
Sn1 Sn 0.170 0.500 0.498
Sn2 Sn 0.342 0.000 0.005
O1 O 0.000 0.000 0.686
O2 O 0.018 0.500 0.655
O3 O 0.081 0.238 0.394
O4 O 0.164 0.000 0.894
O5 O 0.174 0.500 0.880
O6 O 0.247 0.278 0.661
O7 O 0.267 0.230 0.156
O8 O 0.345 0.000 0.381
O9 O 0.345 0.500 0.390
O10 O 0.425 0.263 0.889
O11 O 0.490 0.000 0.165
O12 O 0.495 0.500 0.187
# - M_tot: 18.0 μB per cell



# Li4Fe2Co3Te3O16 PBE with a Hubbard U optimized geometry
data_Li4Fe2Co3Te3O16
_chemical_formula_sum 'Li4 Fe2 Co3 Te3 O16'
_cell_length_a 6.204
_cell_length_b 6.217
_cell_length_c 9.745
_cell_angle_alpha 89.50
_cell_angle_beta 88.91
_cell_angle_gamma 60.10
_space_group_name_H-M_alt 'P 1'
_space_group_IT_number 1
_space_group_name_Hall 'P 1'
loop_
_atom_site_label
_atom_site_type_symbol
_atom_site_fract_x
_atom_site_fract_y
_atom_site_fract_z
Li1 Li 0.000 0.000 0.000
Li2 Li 0.024 0.001 0.478
Li3 Li 0.359 0.321 0.107
Li4 Li 0.672 0.649 0.584
Fe1 Fe 0.409 0.297 0.477
Fe2 Fe 0.741 0.646 0.015
Co1 Co 0.684 0.149 0.773
Co2 Co 0.877 0.321 0.271
Co3 Co 0.877 0.808 0.276
Te1 Te 0.185 0.160 0.772
Te2 Te 0.196 0.646 0.766
Te3 Te 0.386 0.810 0.271
O1 O 0.004 0.504 0.144
O2 O 0.019 0.024 0.665
O3 O 0.046 0.460 0.651
O4 O 0.067 0.971 0.181
O5 O 0.230 0.654 0.389
O6 O 0.234 0.120 0.386
O7 O 0.332 0.868 0.888
O8 O 0.340 0.313 0.883
O9 O 0.479 0.026 0.652
O10 O 0.504 0.454 0.640
O11 O 0.539 0.525 0.142
O12 O 0.544 0.947 0.149
O13 O 0.686 0.655 0.380
O14 O 0.718 0.140 0.388
O15 O 0.854 0.833 0.895
O16 O 0.880 0.312 0.886
# - M_tot: 19.0 μB per cell



# Li4Ti3Fe2Co3O16 PBE with a Hubbard U optimized geometry
data_Li4Ti3Fe2Co3O16
_chemical_formula_sum 'Li4 Ti3 Fe2 Co3 O16'
_cell_length_a 5.765
_cell_length_b 5.790
_cell_length_c 9.568
_cell_angle_alpha 89.68
_cell_angle_beta 89.94
_cell_angle_gamma 60.78
_space_group_name_H-M_alt 'P 1'
_space_group_IT_number 1
_space_group_name_Hall 'P 1'
loop_
_atom_site_label
_atom_site_type_symbol
_atom_site_fract_x
_atom_site_fract_y
_atom_site_fract_z
Li1 Li 0.000 0.000 0.000
Li2 Li 0.003 0.985 0.496
Li3 Li 0.324 0.309 0.105
Li4 Li 0.652 0.654 0.597
Ti1 Ti 0.143 0.648 0.784
Ti2 Ti 0.647 0.167 0.775
Ti3 Ti 0.818 0.811 0.278
Fe1 Fe 0.319 0.323 0.501
Fe2 Fe 0.650 0.650 0.006
Co1 Co 0.164 0.155 0.780
Co2 Co 0.331 0.813 0.281
Co3 Co 0.823 0.320 0.283
O1 O 0.025 0.466 0.657
O2 O 0.149 0.151 0.384
O3 O 0.151 0.660 0.393
O4 O 0.316 0.821 0.891
O5 O 0.327 0.319 0.893
O6 O 0.470 0.023 0.655
O7 O 0.471 0.470 0.659
O8 O 0.509 0.944 0.157
O9 O 0.511 0.498 0.168
O10 O 0.656 0.644 0.389
O11 O 0.668 0.150 0.392
O12 O 0.827 0.822 0.896
O13 O 0.829 0.312 0.891
O14 O 0.955 0.493 0.160
O15 O 0.994 0.989 0.186
O16 O 0.995 0.988 0.684
# - M_tot: 10.9 μB per cell



# Li10Ti2Fe3Co3O16 PBE with a Hubbard U optimized geometry
data_Li10Ti2Fe3Co3O16
_chemical_formula_sum 'Li10 Ti2 Fe3 Co3 O16'
_cell_length_a 5.905
_cell_length_b 6.052
_cell_length_c 9.891
_cell_angle_alpha 89.08
_cell_angle_beta 89.97
_cell_angle_gamma 61.20
_space_group_name_H-M_alt 'P 1'
_space_group_IT_number 1
_space_group_name_Hall 'P 1'
loop_
_atom_site_label
_atom_site_type_symbol
_atom_site_fract_x
_atom_site_fract_y
_atom_site_fract_z
Li1 Li 0.000 0.000 0.000
Li2 Li 0.008 0.966 0.503
Li3 Li 0.195 0.171 0.428
Li4 Li 0.210 0.578 0.441
Li5 Li 0.311 0.359 0.209
Li6 Li 0.391 0.755 0.938
Li7 Li 0.610 0.181 0.431
Li8 Li 0.676 0.640 0.721
Li9 Li 0.798 0.393 0.946
Li10 Li 0.850 0.757 0.942
Ti1 Ti 0.371 0.261 0.950
Ti2 Ti 0.690 0.625 0.457
Fe1 Fe 0.179 0.131 0.701
Fe2 Fe 0.186 0.621 0.702
Fe3 Fe 0.343 0.816 0.204
Co1 Co 0.677 0.134 0.699
Co2 Co 0.833 0.327 0.203
Co3 Co 0.837 0.822 0.203
O1 O 0.010 0.990 0.312
O2 O 0.020 0.948 0.808
O3 O 0.037 0.459 0.833
O4 O 0.173 0.672 0.078
O5 O 0.183 0.161 0.073
O6 O 0.340 0.303 0.585
O7 O 0.354 0.776 0.574
O8 O 0.501 0.458 0.828
O9 O 0.503 0.501 0.328
O10 O 0.513 0.976 0.841
O11 O 0.516 0.950 0.334
O12 O 0.658 0.174 0.066
O13 O 0.665 0.659 0.087
O14 O 0.830 0.310 0.559
O15 O 0.847 0.781 0.576
O16 O 0.985 0.494 0.336
# - M_tot: 22.9 μB per cell



# Li4Ti2Fe3Co3O16 PBE with a Hubbard U optimized geometry
data_Li4Ti2Fe3Co3O16
_chemical_formula_sum 'Li8 Ti4 Fe6 Co6 O32'
_cell_length_a 9.950
_cell_length_b 5.760
_cell_length_c 9.339
_cell_angle_alpha 90.00
_cell_angle_beta 90.37
_cell_angle_gamma 90.00
_space_group_name_H-M_alt 'C 1 m 1'
_space_group_IT_number 8
_space_group_name_Hall 'C -2y'
loop_
_atom_site_label
_atom_site_type_symbol
_atom_site_fract_x
_atom_site_fract_y
_atom_site_fract_z
Li1 Li 0.000 0.000 0.000
Li2 Li 0.006 0.000 0.499
Li3 Li 0.161 0.500 0.399
Li4 Li 0.334 0.000 0.895
Ti1 Ti 0.162 0.500 0.000
Ti2 Ti 0.333 0.000 0.501
Fe1 Fe 0.330 0.500 0.719
Fe2 Fe 0.411 0.244 0.217
Co1 Co 0.085 0.255 0.718
Co2 Co 0.169 0.000 0.221
O1 O 0.002 0.000 0.308
O2 O 0.002 0.000 0.810
O3 O 0.020 0.500 0.839
O4 O 0.083 0.248 0.102
O5 O 0.165 0.500 0.614
O6 O 0.168 0.000 0.604
O7 O 0.240 0.279 0.839
O8 O 0.253 0.218 0.340
O9 O 0.324 0.000 0.112
O10 O 0.332 0.500 0.098
O11 O 0.417 0.255 0.601
O12 O 0.477 0.000 0.343
# - M_tot: 2.1 μB per cell



# Li4V2Fe3Co3O16 PBE with a Hubbard U optimized geometry
data_Li4V2Fe3Co3O16
_chemical_formula_sum 'Li8 V4 Fe6 Co6 O32'
_cell_length_a 9.970
_cell_length_b 5.740
_cell_length_c 9.221
_cell_angle_alpha 90.00
_cell_angle_beta 90.45
_cell_angle_gamma 90.00
_space_group_name_H-M_alt 'C 1 m 1'
_space_group_IT_number 8
_space_group_name_Hall 'C -2y'
loop_
_atom_site_label
_atom_site_type_symbol
_atom_site_fract_x
_atom_site_fract_y
_atom_site_fract_z
Li1 Li 0.000 0.000 0.000
Li2 Li 0.001 0.000 0.499
Li3 Li 0.173 0.500 0.099
Li4 Li 0.339 0.000 0.597
V1 V 0.173 0.500 0.499
V2 V 0.338 0.000 0.000
Fe1 Fe 0.090 0.258 0.780
Fe2 Fe 0.176 0.000 0.280
Co1 Co 0.333 0.500 0.781
Co2 Co 0.419 0.243 0.281
O1 O 0.003 0.000 0.690
O2 O 0.004 0.000 0.191
O3 O 0.025 0.500 0.652
O4 O 0.090 0.258 0.403
O5 O 0.173 0.500 0.886
O6 O 0.175 0.000 0.907
O7 O 0.247 0.284 0.655
O8 O 0.268 0.221 0.155
O9 O 0.333 0.500 0.399
O10 O 0.339 0.000 0.385
O11 O 0.417 0.242 0.902
O12 O 0.483 0.000 0.158
# - M_tot: 1.9 μB per cell



no.,energy (eV per atom)
1,-5.934
2,-5.942
3,-5.704
4,-6.839
5,-6.165
6,-6.438
7,-6.189